[1]
Entry from the Alexandria database: a PBEsol-optimized structure of Bi2OsBrF (SCAN).

```
Bi2OsBrF
1.0
5.1556 0.0000 0.0000
0.0000 5.1556 0.0000
0.0000 0.0000 5.1768
Bi Os Br F
2 1 1 1
Direct
0.0000 0.5000 0.0000
0.5000 0.0000 0.0000
0.0000 0.0000 0.0000
0.0000 0.0000 0.5000
0.5000 0.5000 0.5000
```

Output
calculated total energy	-50.088	eV/atom
formation energy from raw total energies	0.320	eV/atom
density of states at the Fermi level	4.45	states/eV per cell


[2]
Entry from the Alexandria database: a PBEsol-optimized structure of ReBiBrF2 (SCAN).

```
ReBiBrF2
1.0
4.1685 0.0000 0.0000
0.0000 4.1685 0.0000
0.0000 0.0000 5.3461
Re Bi Br F
1 1 1 2
Direct
0.0000 0.0000 0.0000
0.5000 0.5000 0.5000
0.0000 0.0000 0.5000
0.0000 0.5000 0.0000
0.5000 0.0000 0.0000
```

Output
calculated total energy	-35.391	eV/atom
formation energy from raw total energies	-0.148	eV/atom
density of states at the Fermi level	3.11	states/eV per cell


[3]
Entry from the Alexandria database: a PBEsol-optimized structure of Fe2BiBr (SCAN).

```
Fe2BiBr
1.0
6.4553 0.0000 0.0000
0.0000 6.4553 0.0000
0.0000 0.0000 6.4553
Fe Bi Br
8 4 4
Direct
0.2500 0.2500 0.2500
0.2500 0.2500 0.7500
0.2500 0.7500 0.2500
0.2500 0.7500 0.7500
0.7500 0.2500 0.2500
0.7500 0.2500 0.7500
0.7500 0.7500 0.2500
0.7500 0.7500 0.7500
0.0000 0.0000 0.0000
0.0000 0.5000 0.5000
0.5000 0.0000 0.5000
0.5000 0.5000 0.0000
0.0000 0.0000 0.5000
0.0000 0.5000 0.0000
0.5000 0.0000 0.0000
0.5000 0.5000 0.5000
```

Output
calculated total energy	-32.678	eV/atom
formation energy from raw total energies	0.897	eV/atom
density of states at the Fermi level	20.62	states/eV per cell


[4]
Entry from the Alexandria database: a PBEsol-optimized structure of FeBiIrBr2 (SCAN).

```
FeBiIrBr2
1.0
5.5889 0.0000 0.0000
0.0000 5.5889 0.0000
0.0000 0.0000 5.1051
Fe Bi Ir Br
1 1 1 2
Direct
0.0000 0.0000 0.0000
0.5000 0.5000 0.5000
0.5000 0.5000 0.0000
0.0000 0.5000 0.5000
0.5000 0.0000 0.5000
```

Output
calculated total energy	-40.155	eV/atom
formation energy from raw total energies	1.190	eV/atom
density of states at the Fermi level	2.42	states/eV per cell